VASP calculation (SCAN) on a PBEsol-optimized structure of Sr7Mn4O15.

Computed properties:
SG	Pc (7)
N(E_F)	0.00	states/eV/f.u.
final energy	-395.8	eV per formula unit
formation energy from raw total energies	-2.8206	eV/atom

Unit cell a=6.784 b=9.578 c=10.311 alpha=90.00 beta=91.95 gamma=90.00
Site moments in Bohr magnetons follow the coordinates.
Element x y z (fractional)
1 Sr 0.180 0.754 0.331  0.01
2 Sr 0.821 0.254 0.168  0.01
3 Sr 0.821 0.746 0.668  0.01
4 Sr 0.180 0.246 0.831  0.01
5 Sr 0.997 0.937 0.965  0.00
6 Sr 0.003 0.437 0.534  0.00
7 Sr 0.003 0.563 0.034  0.00
8 Sr 0.997 0.063 0.465  0.00
9 Sr 0.500 0.750 0.999  0.00
10 Sr 0.500 0.250 0.499  0.00
11 Sr 0.353 0.899 0.695  0.00
12 Sr 0.647 0.398 0.804  0.00
13 Sr 0.647 0.602 0.304  0.00
14 Sr 0.353 0.101 0.195  0.00
15 Mn 0.781 0.918 0.220  2.65
16 Mn 0.219 0.418 0.279  2.65
17 Mn 0.219 0.582 0.779  2.65
18 Mn 0.781 0.082 0.720  2.65
19 Mn 0.576 0.918 0.425  2.66
20 Mn 0.424 0.418 0.074  2.66
21 Mn 0.424 0.582 0.574  2.66
22 Mn 0.576 0.082 0.925  2.66
23 O 0.686 0.970 0.584  0.09
24 O 0.315 0.471 0.915  0.09
25 O 0.315 0.529 0.415  0.09
26 O 0.686 0.030 0.084  0.09
27 O 0.338 0.997 0.452  0.07
28 O 0.663 0.496 0.047  0.07
29 O 0.663 0.504 0.547  0.07
30 O 0.338 0.003 0.952  0.07
31 O 0.838 0.832 0.384  0.02
32 O 0.162 0.332 0.115  0.02
33 O 0.162 0.668 0.615  0.02
34 O 0.838 0.168 0.884  0.02
35 O 0.679 0.923 0.838  0.02
36 O 0.321 0.423 0.661  0.02
37 O 0.321 0.577 0.161  0.02
38 O 0.679 0.077 0.338  0.02
39 O 0.027 0.996 0.212  0.06
40 O 0.974 0.496 0.287  0.06
41 O 0.974 0.504 0.787  0.06
42 O 0.027 0.004 0.712  0.06
43 O 0.508 0.852 0.251  0.02
44 O 0.492 0.351 0.247  0.02
45 O 0.492 0.649 0.747  0.02
46 O 0.508 0.148 0.751  0.02
47 O 0.839 0.768 0.122  0.07
48 O 0.160 0.268 0.377  0.07
49 O 0.160 0.732 0.877  0.07
50 O 0.839 0.232 0.622  0.07
51 O 0.499 0.750 0.499  0.11
52 O 0.499 0.250 0.999  0.11